1.
Compound: CdSbW2
Source: Alexandria
Functional: PBE
Structure: relaxed

Properties
As for the space group: No. 123. The density of states at the Fermi level is 0.949 states/eV per atom.

Lattice parameters (Å, degrees): 4.066 4.066 4.487 90.00 90.00 90.00
Fractional positions:
Cd: 0.000 0.000 0.000
Sb: 0.500 0.500 0.000
W: 0.000 0.500 0.500
W: 0.500 0.000 0.500

2.
Compound: CdSbW2
Source: Alexandria
Functional: PBE
Structure: relaxed

Properties
As for the space group: No. 71. The density of states at the Fermi level is 0.789 states/eV per atom.

Lattice parameters (Å, degrees): 5.497 5.497 5.497 144.71 128.25 64.19
Fractional positions:
Cd: 0.000 0.000 0.000
Sb: 0.500 0.500 0.000
W: 0.261 0.761 0.500
W: 0.739 0.239 0.500

3.
Compound: CdSbW2
Source: Alexandria
Functional: PBE
Structure: relaxed

Properties
As for the space group: No. 65. The density of states at the Fermi level is 0.722 states/eV per atom.

Lattice parameters (Å, degrees): 2.930 2.930 9.238 90.00 90.00 109.23
Fractional positions:
Cd: 0.000 0.000 0.000
Sb: 0.000 0.000 0.500
W: 0.500 0.500 0.260
W: 0.500 0.500 0.740

4.
Compound: CdSbW2
Source: Alexandria
Functional: PBE
Structure: relaxed

Properties
As for the space group: No. 47. The density of states at the Fermi level is 0.858 states/eV per atom.

Lattice parameters (Å, degrees): 3.326 4.682 4.782 90.00 90.00 90.00
Fractional positions:
Cd: 0.000 0.000 0.000
Sb: 0.500 0.000 0.500
W: 0.000 0.500 0.500
W: 0.500 0.500 0.000

no.,E_tot (eV/atom),polymorph energy (0 for the lowest one) (eV/f.u.),raw formation energy (eV/atom)
1,-6.78,2.19,0.951
2,-6.92,1.65,0.818
3,-6.82,2.04,0.914
4,-6.88,1.81,0.856